Record 1
Density functional theory data (PBE) for a relaxed CsNiH8Pt2 crystal.

Lattice parameters (Å, degrees): 7.854 7.854 7.854 35.01 35.01 35.01
Fractional coordinates of all 12 atoms:
Cs (0.000, 0.000, 0.000)
Ni (0.500, 0.500, 0.500)
H (0.161, 0.442, 0.772)
H (0.228, 0.839, 0.558)
H (0.272, 0.272, 0.272)
H (0.442, 0.772, 0.161)
H (0.558, 0.228, 0.839)
H (0.728, 0.728, 0.728)
H (0.772, 0.161, 0.442)
H (0.839, 0.558, 0.228)
Pt (0.199, 0.199, 0.199)
Pt (0.801, 0.801, 0.801)

Computed properties:
**Crystal system**: trigonal
**DFT total energy**: -3.843 eV per atom
**Symmetry**: R-3, No. 148

Record 2
Density functional theory data (PBE) for a relaxed LaMgTl3 crystal.

Lattice parameters (Å, degrees): 6.145 6.145 6.145 90.00 90.00 90.00
Fractional coordinates of all 5 atoms:
La (0.000, 0.000, 0.000)
Mg (0.500, 0.500, 0.500)
Tl (0.000, 0.000, 0.500)
Tl (0.000, 0.500, 0.000)
Tl (0.500, 0.000, 0.000)

Computed properties:
**Crystal system**: cubic
**DFT total energy**: -2.100 eV per atom
**Calculated formation energy**: 624 meV/atom
**Energy relative to the lowest polymorph listed for this composition**: 754 meV/atom
**Symmetry**: Pm-3m, No. 221